Record 1
# PBE BeTc2Ir, optimized geometry
# Energy of formation: -20.6 meV/atom
data_BeTc2Ir
_chemical_formula_sum 'Be2 Tc4 Ir2'
_cell_length_a 9.062
_cell_length_b 2.760
_cell_length_c 4.394
_cell_angle_alpha 90.00
_cell_angle_beta 101.47
_cell_angle_gamma 90.00
_space_group_name_H-M_alt 'C 1 2/m 1'
_space_group_IT_number 12
loop_
_space_group_symop_operation_xyz
'x,y,z'
'-x,-y,-z'
'-x,y,-z'
'x,-y,z'
'x+1/2,y+1/2,z'
'-x+1/2,-y+1/2,-z'
'-x+1/2,y+1/2,-z'
'x+1/2,-y+1/2,z'
loop_
_atom_site_label
_atom_site_fract_x
_atom_site_fract_y
_atom_site_fract_z
_atom_site_occupancy
Be1 0.000 0.000 0.000 1
Tc1 0.249 0.000 0.756 1
Ir1 0.000 0.500 0.500 1

---

Record 2
# PBE Y6Ho2Tm, optimized geometry
# Excess energy over the best structure of this formula in the dataset: 0 meV/atom
# Energy of formation: 65.4 meV/atom
data_Y6Ho2Tm
_chemical_formula_sum 'Y24 Ho8 Tm4'
_cell_length_a 5.712
_cell_length_b 9.554
_cell_length_c 20.920
_cell_angle_alpha 90.00
_cell_angle_beta 90.00
_cell_angle_gamma 90.00
_space_group_name_H-M_alt 'I b a m'
_space_group_IT_number 72
_space_group_name_Hall '-I 2 2c'
loop_
_atom_site_label
_atom_site_fract_x
_atom_site_fract_y
_atom_site_fract_z
_atom_site_occupancy
Y1 0.000 0.000 0.083 1
Y2 0.036 0.332 0.167 1
Ho1 0.033 0.332 0.500 1
Tm1 0.000 0.000 0.250 1

---

Record 3
# PBE CsPRhS2, optimized geometry
# ΔE_f (raw): 2.118 eV/atom
# Excess energy over the best structure of this formula in the dataset: 2091 meV/atom
data_CsPRhS2
_chemical_formula_sum 'Cs1 P1 Rh1 S2'
_cell_length_a 5.384
_cell_length_b 5.384
_cell_length_c 5.701
_cell_angle_alpha 90.00
_cell_angle_beta 90.00
_cell_angle_gamma 90.00
_space_group_name_H-M_alt 'P 4/m m m'
_space_group_IT_number 123
_space_group_name_Hall '-P 4 2'
loop_
_atom_site_label
_atom_site_fract_x
_atom_site_fract_y
_atom_site_fract_z
_atom_site_occupancy
Cs1 0.000 0.000 0.000 1
P1 0.000 0.000 0.500 1
Rh1 0.500 0.500 0.500 1
S1 0.000 0.500 0.000 1

---

Record 4
# PBE Nb5Ga, optimized geometry
# Energy of formation: -134.5 meV/atom
data_Nb5Ga
_chemical_formula_sum 'Nb10 Ga2'
_cell_length_a 4.515
_cell_length_b 13.716
_cell_length_c 3.449
_cell_angle_alpha 90.00
_cell_angle_beta 90.00
_cell_angle_gamma 90.00
_space_group_name_H-M_alt 'C m m m'
_space_group_IT_number 65
_space_group_name_Hall '-C 2 2'
loop_
_atom_site_label
_atom_site_fract_x
_atom_site_fract_y
_atom_site_fract_z
_atom_site_occupancy
Nb1 0.000 0.000 0.000 1
Nb2 0.000 0.161 0.500 1
Nb3 0.000 0.332 0.000 1
Ga1 0.000 0.500 0.500 1

---

Record 5
# PBE AgAu2Se, optimized geometry
# ΔE_f (raw): 0.189 eV/atom
data_AgAu2Se
_chemical_formula_sum 'Ag3 Au6 Se3'
_cell_length_a 2.8843
_cell_length_b 2.8843
_cell_length_c 32.1543
_cell_angle_alpha 90.00
_cell_angle_beta 90.00
_cell_angle_gamma 120.00
_space_group_name_H-M_alt 'R -3 m'
_space_group_IT_number 166
_space_group_name_Hall '-R 3 2"'
loop_
_atom_site_label
_atom_site_fract_x
_atom_site_fract_y
_atom_site_fract_z
_atom_site_occupancy
Ag1 0.0000 0.0000 0.0000 1
Au1 0.0000 0.0000 0.2575 1
Se1 0.0000 0.0000 0.5000 1

---

Record 6
# PBE CaHoAgIr, optimized geometry
# Excess energy over the best structure of this formula in the dataset: 0 meV/atom
# Energy of formation: -489.4 meV/atom
data_CaHoAgIr
_chemical_formula_sum 'Ca1 Ho1 Ag1 Ir1'
_cell_length_a 3.473
_cell_length_b 3.473
_cell_length_c 7.447
_cell_angle_alpha 90.00
_cell_angle_beta 90.00
_cell_angle_gamma 90.00
_space_group_name_H-M_alt 'P 4 m m'
_space_group_IT_number 99
loop_
_space_group_symop_operation_xyz
'x,y,z'
'-y,x,z'
'-x,-y,z'
'y,-x,z'
'-x,y,z'
'y,x,z'
'x,-y,z'
'-y,-x,z'
loop_
_atom_site_label
_atom_site_fract_x
_atom_site_fract_y
_atom_site_fract_z
_atom_site_occupancy
Ca1 0.000 0.000 0.000 1
Ho1 0.000 0.000 0.555 1
Ag1 0.500 0.500 0.287 1
Ir1 0.500 0.500 0.751 1

---

Record 7
# PBE TlAs2Ir, optimized geometry
# Excess energy over the best structure of this formula in the dataset: 156 meV/atom
# Energy of formation: 81.9 meV/atom
data_TlAs2Ir
_chemical_formula_sum 'Tl4 As8 Ir4'
_cell_length_a 6.301
_cell_length_b 6.301
_cell_length_c 11.095
_cell_angle_alpha 90.00
_cell_angle_beta 90.00
_cell_angle_gamma 90.00
_space_group_name_H-M_alt 'I -4 2 d'
_space_group_IT_number 122
_space_group_name_Hall 'I -4 2bw'
loop_
_atom_site_label
_atom_site_fract_x
_atom_site_fract_y
_atom_site_fract_z
_atom_site_occupancy
Tl1 0.000 0.000 0.000 1
As1 0.174 0.250 0.625 1
Ir1 0.000 0.000 0.500 1

---

Record 8
# PBE Ac3MnSn, optimized geometry
# Energy of formation: -103.5 meV/atom
data_Ac3MnSn
_chemical_formula_sum 'Ac3 Mn1 Sn1'
_cell_length_a 5.453
_cell_length_b 5.453
_cell_length_c 5.453
_cell_angle_alpha 90.00
_cell_angle_beta 90.00
_cell_angle_gamma 90.00
_space_group_name_H-M_alt 'P m -3 m'
_space_group_IT_number 221
_space_group_name_Hall '-P 4 2 3'
loop_
_atom_site_label
_atom_site_fract_x
_atom_site_fract_y
_atom_site_fract_z
_atom_site_occupancy
Ac1 0.000 0.000 0.500 1
Mn1 0.000 0.000 0.000 1
Sn1 0.500 0.500 0.500 1

---

Record 9
# PBE MnZnSi2, optimized geometry
# ΔE_f (raw): 0.161 eV/atom
data_MnZnSi2
_chemical_formula_sum 'Mn2 Zn2 Si4'
_cell_length_a 5.328
_cell_length_b 7.537
_cell_length_c 2.674
_cell_angle_alpha 90.00
_cell_angle_beta 90.23
_cell_angle_gamma 90.00
_space_group_name_H-M_alt 'C 1 2/m 1'
_space_group_IT_number 12
loop_
_space_group_symop_operation_xyz
'x,y,z'
'-x,-y,-z'
'-x,y,-z'
'x,-y,z'
'x+1/2,y+1/2,z'
'-x+1/2,-y+1/2,-z'
'-x+1/2,y+1/2,-z'
'x+1/2,-y+1/2,z'
loop_
_atom_site_label
_atom_site_fract_x
_atom_site_fract_y
_atom_site_fract_z
_atom_site_occupancy
Mn1 0.000 0.000 0.000 1
Zn1 0.000 0.500 0.000 1
Si1 0.250 0.250 0.500 1

---

Record 10
# PBE Sc2TiP2, optimized geometry
# Energy of formation: -1177.5 meV/atom
data_Sc2TiP2
_chemical_formula_sum 'Sc4 Ti2 P4'
_cell_length_a 6.755
_cell_length_b 6.755
_cell_length_c 3.684
_cell_angle_alpha 90.00
_cell_angle_beta 90.00
_cell_angle_gamma 90.00
_space_group_name_H-M_alt 'P 4/m b m'
_space_group_IT_number 127
_space_group_name_Hall '-P 4 2ab'
loop_
_atom_site_label
_atom_site_fract_x
_atom_site_fract_y
_atom_site_fract_z
_atom_site_occupancy
Sc1 0.162 0.338 0.000 1
Ti1 0.000 0.000 0.500 1
P1 0.145 0.645 0.500 1

---

Record 11
# PBE Sm3DyO, optimized geometry
# ΔE_f (raw): -1.102 eV/atom
data_Sm3DyO
_chemical_formula_sum 'Sm3 Dy1 O1'
_cell_length_a 5.033
_cell_length_b 5.033
_cell_length_c 5.033
_cell_angle_alpha 90.00
_cell_angle_beta 90.00
_cell_angle_gamma 90.00
_space_group_name_H-M_alt 'P m -3 m'
_space_group_IT_number 221
_space_group_name_Hall '-P 4 2 3'
loop_
_atom_site_label
_atom_site_fract_x
_atom_site_fract_y
_atom_site_fract_z
_atom_site_occupancy
Sm1 0.000 0.000 0.500 1
Dy1 0.500 0.500 0.500 1
O1 0.000 0.000 0.000 1

---

Record 12
# PBE Ba2ZnO2F2, optimized geometry
# ΔE_f (raw): -2.726 eV/atom
data_Ba2ZnO2F2
_chemical_formula_sum 'Ba4 Zn2 O4 F4'
_cell_length_a 4.106
_cell_length_b 4.106
_cell_length_c 14.279
_cell_angle_alpha 90.00
_cell_angle_beta 90.00
_cell_angle_gamma 90.00
_space_group_name_H-M_alt 'I 4/m m m'
_space_group_IT_number 139
_space_group_name_Hall '-I 4 2'
loop_
_atom_site_label
_atom_site_fract_x
_atom_site_fract_y
_atom_site_fract_z
_atom_site_occupancy
Ba1 0.000 0.000 0.127 1
Zn1 0.000 0.000 0.500 1
O1 0.000 0.500 0.000 1
F1 0.000 0.000 0.321 1

---

Record 13
# PBE CsLi2MgGa, optimized geometry
# Energy of formation: 23.3 meV/atom
data_CsLi2MgGa
_chemical_formula_sum 'Cs1 Li2 Mg1 Ga1'
_cell_length_a 5.480
_cell_length_b 5.480
_cell_length_c 5.191
_cell_angle_alpha 90.00
_cell_angle_beta 90.00
_cell_angle_gamma 90.00
_space_group_name_H-M_alt 'P 4/m m m'
_space_group_IT_number 123
_space_group_name_Hall '-P 4 2'
loop_
_atom_site_label
_atom_site_fract_x
_atom_site_fract_y
_atom_site_fract_z
_atom_site_occupancy
Cs1 0.000 0.000 0.000 1
Li1 0.000 0.500 0.500 1
Mg1 0.500 0.500 0.000 1
Ga1 0.500 0.500 0.500 1

---

Record 14
# PBE Pr3SmNi2, optimized geometry
# Energy of formation: -202.8 meV/atom
data_Pr3SmNi2
_chemical_formula_sum 'Pr12 Sm4 Ni8'
_cell_length_a 16.692
_cell_length_b 4.001
_cell_length_c 11.883
_cell_angle_alpha 90.00
_cell_angle_beta 124.14
_cell_angle_gamma 90.00
_space_group_name_H-M_alt 'C 1 2/m 1'
_space_group_IT_number 12
loop_
_space_group_symop_operation_xyz
'x,y,z'
'-x,-y,-z'
'-x,y,-z'
'x,-y,z'
'x+1/2,y+1/2,z'
'-x+1/2,-y+1/2,-z'
'-x+1/2,y+1/2,-z'
'x+1/2,-y+1/2,z'
loop_
_atom_site_label
_atom_site_fract_x
_atom_site_fract_y
_atom_site_fract_z
_atom_site_occupancy
Pr1 0.081 0.000 0.443 1
Pr2 0.083 0.000 0.940 1
Pr3 0.154 0.500 0.249 1
Sm1 0.158 0.500 0.752 1
Ni1 0.233 0.500 0.049 1
Ni2 0.233 0.500 0.550 1

---

Record 15
# PBE AlFeSiRu, optimized geometry
# ΔE_f (raw): -0.543 eV/atom
# Excess energy over the best structure of this formula in the dataset: 0 meV/atom
data_AlFeSiRu
_chemical_formula_sum 'Al4 Fe4 Si4 Ru4'
_cell_length_a 5.782
_cell_length_b 5.782
_cell_length_c 5.782
_cell_angle_alpha 90.00
_cell_angle_beta 90.00
_cell_angle_gamma 90.00
_space_group_name_H-M_alt 'F -4 3 m'
_space_group_IT_number 216
_space_group_name_Hall 'F -4 2 3'
loop_
_atom_site_label
_atom_site_fract_x
_atom_site_fract_y
_atom_site_fract_z
_atom_site_occupancy
Al1 0.000 0.000 0.000 1
Fe1 0.250 0.250 0.750 1
Si1 0.000 0.000 0.500 1
Ru1 0.250 0.250 0.250 1

---

Record 16
# PBE Dy2NpWN6, optimized geometry
# ΔE_f (raw): -0.967 eV/atom
data_Dy2NpWN6
_chemical_formula_sum 'Dy2 Np1 W1 N6'
_cell_length_a 5.644
_cell_length_b 5.644
_cell_length_c 4.448
_cell_angle_alpha 90.00
_cell_angle_beta 90.00
_cell_angle_gamma 90.00
_space_group_name_H-M_alt 'P 4 m m'
_space_group_IT_number 99
loop_
_space_group_symop_operation_xyz
'x,y,z'
'-y,x,z'
'-x,-y,z'
'y,-x,z'
'-x,y,z'
'y,x,z'
'x,-y,z'
'-y,-x,z'
loop_
_atom_site_label
_atom_site_fract_x
_atom_site_fract_y
_atom_site_fract_z
_atom_site_occupancy
Dy1 0.000 0.500 0.000 1
Np1 0.000 0.000 0.612 1
W1 0.500 0.500 0.576 1
N1 0.000 0.000 0.139 1
N2 0.259 0.259 0.699 1
N3 0.500 0.500 0.169 1

---

Record 17
# PBE LiUCuS3, optimized geometry
# ΔE_f (raw): -1.082 eV/atom
data_LiUCuS3
_chemical_formula_sum 'Li2 U2 Cu2 S6'
_cell_length_a 7.621
_cell_length_b 3.685
_cell_length_c 8.235
_cell_angle_alpha 90.00
_cell_angle_beta 103.13
_cell_angle_gamma 90.00
_space_group_name_H-M_alt 'P 1 21/m 1'
_space_group_IT_number 11
loop_
_space_group_symop_operation_xyz
'x,y,z'
'-x,-y,-z'
'-x,y+1/2,-z'
'x,-y+1/2,z'
loop_
_atom_site_label
_atom_site_fract_x
_atom_site_fract_y
_atom_site_fract_z
_atom_site_occupancy
Li1 0.149 0.250 0.153 1
U1 0.315 0.750 0.772 1
Cu1 0.404 0.750 0.410 1
S1 0.087 0.250 0.840 1
S2 0.265 0.250 0.500 1
S3 0.409 0.750 0.133 1

---

Record 18
# PBE Ag2OsPb, optimized geometry
# Energy of formation: 676.9 meV/atom
data_Ag2OsPb
_chemical_formula_sum 'Ag2 Os1 Pb1'
_cell_length_a 4.034
_cell_length_b 4.034
_cell_length_c 4.520
_cell_angle_alpha 90.00
_cell_angle_beta 90.00
_cell_angle_gamma 90.00
_space_group_name_H-M_alt 'P 4/m m m'
_space_group_IT_number 123
_space_group_name_Hall '-P 4 2'
loop_
_atom_site_label
_atom_site_fract_x
_atom_site_fract_y
_atom_site_fract_z
_atom_site_occupancy
Ag1 0.000 0.500 0.000 1
Os1 0.000 0.000 0.500 1
Pb1 0.500 0.500 0.500 1

---

Record 19
# PBE ZrNi2As2, optimized geometry
# Energy of formation: -345.4 meV/atom
data_ZrNi2As2
_chemical_formula_sum 'Zr2 Ni4 As4'
_cell_length_a 6.955
_cell_length_b 6.955
_cell_length_c 3.149
_cell_angle_alpha 90.00
_cell_angle_beta 90.00
_cell_angle_gamma 90.00
_space_group_name_H-M_alt 'P 4/m b m'
_space_group_IT_number 127
_space_group_name_Hall '-P 4 2ab'
loop_
_atom_site_label
_atom_site_fract_x
_atom_site_fract_y
_atom_site_fract_z
_atom_site_occupancy
Zr1 0.000 0.000 0.000 1
Ni1 0.121 0.379 0.000 1
As1 0.181 0.681 0.500 1

---

Record 20
# PBE Ce2PaTc2, optimized geometry
# Excess energy over the best structure of this formula in the dataset: 155 meV/atom
# Energy of formation: 0.6 meV/atom
data_Ce2PaTc2
_chemical_formula_sum 'Ce8 Pa4 Tc8'
_cell_length_a 8.692
_cell_length_b 8.270
_cell_length_c 6.875
_cell_angle_alpha 90.00
_cell_angle_beta 99.75
_cell_angle_gamma 90.00
_space_group_name_H-M_alt 'P 1 21/c 1'
_space_group_IT_number 14
loop_
_space_group_symop_operation_xyz
'x,y,z'
'-x,-y,-z'
'-x,y+1/2,-z+1/2'
'x,-y+1/2,z+1/2'
loop_
_atom_site_label
_atom_site_fract_x
_atom_site_fract_y
_atom_site_fract_z
_atom_site_occupancy
Ce1 0.043 0.197 0.060 1
Ce2 0.313 0.616 0.875 1
Pa1 0.336 0.060 0.860 1
Tc1 0.078 0.545 0.199 1
Tc2 0.441 0.135 0.223 1

---

Record 21
# PBE Sc4Al16Ir3, optimized geometry
# Energy of formation: -606.4 meV/atom
data_Sc4Al16Ir3
_chemical_formula_sum 'Sc4 Al16 Ir3'
_cell_length_a 6.037
_cell_length_b 6.037
_cell_length_c 11.015
_cell_angle_alpha 90.00
_cell_angle_beta 90.00
_cell_angle_gamma 90.00
_space_group_name_H-M_alt 'P 4/m m m'
_space_group_IT_number 123
_space_group_name_Hall '-P 4 2'
loop_
_atom_site_label
_atom_site_fract_x
_atom_site_fract_y
_atom_site_fract_z
_atom_site_occupancy
Sc1 0.000 0.500 0.191 1
Al1 0.000 0.000 0.194 1
Al2 0.217 0.217 0.000 1
Al3 0.250 0.250 0.377 1
Al4 0.500 0.500 0.220 1
Ir1 0.000 0.500 0.500 1
Ir2 0.500 0.500 0.000 1

---

Record 22
# PBE NaPmYCd, optimized geometry
# Energy of formation: 10.4 meV/atom
data_NaPmYCd
_chemical_formula_sum 'Na4 Pm4 Y4 Cd4'
_cell_length_a 7.726
_cell_length_b 7.726
_cell_length_c 7.726
_cell_angle_alpha 90.00
_cell_angle_beta 90.00
_cell_angle_gamma 90.00
_space_group_name_H-M_alt 'F -4 3 m'
_space_group_IT_number 216
_space_group_name_Hall 'F -4 2 3'
loop_
_atom_site_label
_atom_site_fract_x
_atom_site_fract_y
_atom_site_fract_z
_atom_site_occupancy
Na1 0.000 0.000 0.000 1
Pm1 0.250 0.250 0.250 1
Y1 0.250 0.250 0.750 1
Cd1 0.000 0.000 0.500 1

---

Record 23
# PBE PaI4Br2, optimized geometry
# ΔE_f (raw): -0.890 eV/atom
# Excess energy over the best structure of this formula in the dataset: 0 meV/atom
data_PaI4Br2
_chemical_formula_sum 'Pa1 I4 Br2'
_cell_length_a 7.048
_cell_length_b 7.568
_cell_length_c 7.743
_cell_angle_alpha 118.61
_cell_angle_beta 91.26
_cell_angle_gamma 99.88
_space_group_name_H-M_alt 'P -1'
_space_group_IT_number 2
loop_
_space_group_symop_operation_xyz
'x,y,z'
'-x,-y,-z'
loop_
_atom_site_label
_atom_site_fract_x
_atom_site_fract_y
_atom_site_fract_z
_atom_site_occupancy
Pa1 0.000 0.000 0.000 1
I1 0.189 0.692 0.046 1
I2 0.298 0.038 0.752 1
Br1 0.224 0.304 0.324 1

---

Record 24
# PBE CeCdSi2Pt5, optimized geometry
# ΔE_f (raw): -0.654 eV/atom
data_CeCdSi2Pt5
_chemical_formula_sum 'Ce1 Cd1 Si2 Pt5'
_cell_length_a 4.079
_cell_length_b 4.079
_cell_length_c 11.002
_cell_angle_alpha 90.00
_cell_angle_beta 90.00
_cell_angle_gamma 90.00
_space_group_name_H-M_alt 'P 4/m m m'
_space_group_IT_number 123
_space_group_name_Hall '-P 4 2'
loop_
_atom_site_label
_atom_site_fract_x
_atom_site_fract_y
_atom_site_fract_z
_atom_site_occupancy
Ce1 0.000 0.000 0.000 1
Cd1 0.000 0.000 0.500 1
Si1 0.500 0.500 0.214 1
Pt1 0.000 0.500 0.320 1
Pt2 0.500 0.500 0.000 1